## Li4SnRh (PBE-GGA)

Data for a relaxed structure of Li4SnRh.

Lattice parameters (Å, degrees): 4.4635 5.3196 8.2228 71.13 89.99 89.97
Element x y z (fractional)
Li: 0.2504 0.1895 0.0822
Li: 0.2500 0.5495 0.4154
Li: 0.7496 0.8105 0.9178
Li: 0.2496 0.7283 0.0822
Li: 0.7504 0.2717 0.9178
Li: 0.2500 0.0351 0.4154
Li: 0.7500 0.4505 0.5846
Li: 0.7500 0.9649 0.5846
Sn: 0.7500 0.3758 0.2484
Sn: 0.2500 0.6242 0.7516
Rh: 0.7500 0.8760 0.2480
Rh: 0.2500 0.1240 0.7520

## Properties
For the energy above the most stable polymorph in this dataset, the calculation gives 0.0 meV per atom. The value obtained for the formation energy is -0.34 eV/atom. The value obtained for the density is 4.48 g/cm³. The density of states at the Fermi level is 4.168 states/eV/cell. The space group is Cmcm. The size of the total moment comes out at 0.00 μB per formula unit.



## BaZn3Si2 (PBE-GGA)

Data for a relaxed structure of BaZn3Si2.

Lattice parameters (Å, degrees): 4.1847 8.9873 11.7732 37.49 79.76 76.54
Element x y z (fractional)
Ba: 0.0947 0.0592 0.7515
Ba: 0.9053 0.9408 0.2485
Zn: 0.6939 0.5520 0.0602
Zn: 0.3129 0.8012 0.5730
Zn: 0.8958 0.4619 0.7464
Zn: 0.1042 0.5381 0.2536
Zn: 0.6871 0.1988 0.4270
Zn: 0.3061 0.4480 0.9398
Si: 0.5477 0.7768 0.1277
Si: 0.7500 0.7535 0.7465
Si: 0.4523 0.2232 0.8723
Si: 0.2500 0.2465 0.2535

## Properties
The value obtained for the density is 4.94 g/cm³. The density of states at the Fermi level is 2.204 states/eV/cell. For the raw formation energy, the calculation gives -0.12 eV/atom. The space group is C2/m. The size of the total moment comes out at 0.00 μB per formula unit.